The following is a DFT calculation (GGA-PBE) of Y2CdIn after structural relaxation.

* total magnetization: 0.007 μB/atom
* symmetry: P4/mmm
* uncorrected energy: -18.4 eV per cell

```
4
Lattice="5.3011 0.0000 0.0000 0.0000 5.3011 0.0000 0.0000 0.0000 3.7491" Properties=species:S:1:pos:R:3 pbc="T T T"
Cd 2.6506 2.6506 0.0000
In 0.0000 0.0000 0.0000
Y 2.6506 0.0000 1.8746
Y 0.0000 2.6506 1.8746
```

The following is a DFT calculation (GGA-PBE) of Be2CuHg after structural relaxation.

* symmetry: F-43m
* uncorrected energy: -10.0 eV per cell

```
4
Lattice="2.0834 1.2028 3.4021 -2.0834 1.2028 3.4021 0.0000 -2.4057 3.4021" Properties=species:S:1:pos:R:3 pbc="T T T"
Be 0.0000 0.0000 0.0000
Be 0.0000 0.0000 7.6548
Cu 0.0000 0.0000 2.5516
Hg 0.0000 0.0000 5.1032
```

The following is a DFT calculation (GGA-PBE) of AlTlFeH6 after structural relaxation.

* total magnetization: 0.270 μB/atom
* symmetry: F-43m
* uncorrected energy: -25.9 eV per cell

```
9
Lattice="-0.7245 1.5267 4.3798 -3.1909 3.3436 0.8226 -3.9940 -1.0636 2.2260" Properties=species:S:1:pos:R:3 pbc="T T T"
Al -3.9547 1.9034 3.7142
Fe 0.0000 0.0000 0.0000
H -0.9888 0.8364 2.0608
H -1.7436 1.3924 0.9722
H -1.9653 1.8596 2.3125
H -1.9894 0.0438 1.4017
H -2.2111 0.5110 2.7420
H -2.9658 1.0670 1.6534
Tl -5.9320 2.8551 5.5712
```

The following is a DFT calculation (GGA-PBE) of Gd2Dy2B3 after structural relaxation.

* total magnetization: 0.161 μB/atom
* symmetry: Cmmm
* uncorrected energy: -33.3 eV per cell

```
7
Lattice="1.6657 -9.9051 0.0000 1.6657 9.9051 0.0000 0.0000 0.0000 5.4377" Properties=species:S:1:pos:R:3 pbc="T T T"
B 1.6657 -5.1963 0.0000
B 1.6657 0.0000 0.0000
B 1.6657 5.1963 0.0000
Dy 1.6657 -2.5905 0.0000
Dy 1.6657 2.5905 0.0000
Gd 1.6657 -6.3822 2.7188
Gd 1.6657 6.3822 2.7188
```

The following is a DFT calculation (GGA-PBE) of SmAlNO after structural relaxation.

* distance to the lowest polymorph of the same formula: 34 meV/atom
* total magnetization: 0.003 μB/atom
* symmetry: Pmc2_1
* uncorrected energy: -58.5 eV per cell

```
8
Lattice="-0.4229 -0.6117 3.5257 -1.3565 -5.0047 -1.0310 5.3157 -1.5179 0.3742" Properties=species:S:1:pos:R:3 pbc="T T T"
Al 1.6492 -4.4568 -0.5755
Al 4.9560 -2.8214 0.1049
N 0.6592 -2.8686 -0.4186
N 3.3092 -3.6567 -0.2375
O 1.2970 -5.1912 1.0962
O 4.8397 -2.6857 1.9558
Sm -1.1833 -3.9260 1.0182
Sm 2.0791 -2.4543 1.6648
```

The following is a DFT calculation (GGA-PBE) of LaPrAg2 after structural relaxation.

* DFT formation energy: -0.2560 eV per atom
* total magnetization: 0.010 μB/atom
* symmetry: Amm2
* uncorrected energy: -16.4 eV per cell

```
4
Lattice="4.9021 0.0000 0.0000 0.0000 1.9674 5.7349 0.0000 -1.9674 5.7349" Properties=species:S:1:pos:R:3 pbc="T T T"
Ag 0.0000 0.0000 0.8833
Ag 2.4511 0.0000 10.5951
La 0.0000 0.0000 4.0947
Pr 2.4511 0.0000 7.3664
```

The following is a DFT calculation (GGA-PBE) of PrHfB after structural relaxation.

* distance to the lowest polymorph of the same formula: 1420 meV/atom
* total magnetization: 0.014 μB/atom
* symmetry: F-43m
* uncorrected energy: -16.2 eV per cell

```
3
Lattice="0.0000 3.2663 3.2663 3.2663 0.0000 3.2663 3.2663 3.2663 0.0000" Properties=species:S:1:pos:R:3 pbc="T T T"
B 3.2663 3.2663 3.2663
Hf 0.0000 0.0000 0.0000
Pr 1.6331 1.6331 1.6331
```

The following is a DFT calculation (GGA-PBE) of KGdMgSe3 after structural relaxation.

* total magnetization: 0.001 μB/atom
* symmetry: P2_1/m
* uncorrected energy: -54.2 eV per cell

```
12
Lattice="9.0642 0.0000 0.0000 0.0000 4.2770 0.0000 -2.9575 0.0000 9.6639" Properties=species:S:1:pos:R:3 pbc="T T T"
Gd 1.9126 3.2077 3.5279
Gd 4.1940 1.0692 6.1360
K 6.3656 3.2077 2.6675
K -0.2590 1.0692 6.9964
Mg 0.4486 1.0692 1.0506
Mg 5.6580 3.2077 8.6132
Se 1.7537 3.2077 0.4007
Se 3.8602 1.0692 3.3126
Se -0.0885 1.0692 3.5198
Se 6.1951 3.2077 6.1441
Se 2.2465 3.2077 6.3512
Se 4.3529 1.0692 9.2632
```

The following is a DFT calculation (GGA-PBE) of LiTmSb after structural relaxation.

* distance to the lowest polymorph of the same formula: 286 meV/atom
* total magnetization: 0.002 μB/atom
* symmetry: F-43m
* uncorrected energy: -11.4 eV per cell

```
3
Lattice="-2.7484 -3.4073 2.2183 -3.4779 -2.3715 -2.5229 0.5867 -4.7406 -1.1260" Properties=species:S:1:pos:R:3 pbc="T T T"
Li -1.4099 -2.6298 -0.3576
Sb -4.2297 -7.8895 -1.0729
Tm 0.0000 0.0000 0.0000
```

The following is a DFT calculation (GGA-PBE) of NpSb after structural relaxation.

* distance to the lowest polymorph of the same formula: 812 meV/atom
* total magnetization: 2.001 μB/atom
* symmetry: F-43m
* uncorrected energy: -15.9 eV per cell

```
2
Lattice="4.6672 -0.8949 1.5605 2.8346 3.7572 1.6933 1.1098 0.2982 4.8681" Properties=species:S:1:pos:R:3 pbc="T T T"
Np 0.0000 0.0000 0.0000
Sb 2.1529 0.7901 2.0305
```

The following is a DFT calculation (GGA-PBE) of Sm5S6 after structural relaxation.

* total magnetization: 0.002 μB/atom
* symmetry: C2/m
* uncorrected energy: -71.1 eV per cell

```
11
Lattice="-4.9909 4.6479 1.2143 -0.0978 -3.7205 -5.8425 -1.8523 -4.8839 4.5074" Properties=species:S:1:pos:R:3 pbc="T T T"
S -4.2678 -0.5058 -2.3594
S -2.5661 0.4039 1.1540
S -0.9271 -2.3993 -1.2098
S -6.0139 -1.5572 1.0890
S -4.3749 -4.3604 -1.2748
S -2.6732 -3.4507 2.2386
Sm -3.3553 1.8506 -1.1445
Sm -1.7334 -0.9233 -3.4836
Sm -5.1223 0.8468 2.3219
Sm -3.4705 -1.9783 -0.0604
Sm -1.8187 -4.8033 -2.4426
```

The following is a DFT calculation (GGA-PBE) of SmRe4Si2 after structural relaxation.

* total magnetization: 0.001 μB/atom
* symmetry: P4_2/mnm
* uncorrected energy: -136.7 eV per cell

```
14
Lattice="-6.8062 2.5628 -1.5881 -2.9128 -4.5775 5.0966 0.4320 2.9318 2.8800" Properties=species:S:1:pos:R:3 pbc="T T T"
Re -3.2290 0.3236 0.1549
Re -2.2562 -1.4606 1.8253
Re -7.4628 -0.5541 1.6833
Re -6.4900 -2.3383 3.3536
Re -4.5279 2.7252 0.8696
Re -6.9564 2.2218 1.7463
Re -2.3306 -1.3047 4.6423
Re -4.7591 -1.8081 5.5190
Si -5.6720 0.4828 0.3592
Si -4.0470 -2.4975 3.1493
Si -1.8123 1.0454 2.1722
Si -7.4747 -0.1283 4.2164
Sm 0.0000 0.0000 0.0000
Sm -4.6435 0.4585 3.1943
```

- Which of these has the highest uncorrected energy?
  Be2CuHg